A plane-wave DFT calculation with PBE+U was carried out for a geometry-optimized BaLaMnSnO6 structure.

Values from the calculation:
E (eV/cell): -71.344
Total magnetization (μB per formula unit): 4.00

a = 5.8088 Å, b = 5.8088 Å, c = 5.7170 Å
α = 61.77°, β = 61.77°, γ = 58.71°
Last column: nearest neighbours and their distance in Å.
Fractional coordinates of all 10 atoms:
Ba 0.7526 0.7526 0.7432  7 O 2.61-2.91
La 0.2465 0.2465 0.2731  5 O 2.40-2.53
Mn 0.5045 0.5045 0.4904  5 O 1.97-2.21
Sn 0.0002 0.0002 0.0008  6 O 2.04-2.13
O 0.7616 0.7616 0.1914  1 Sn 2.04, 1 Mn 2.21
O 0.2350 0.2350 0.8652  1 Sn 2.06
O 0.2841 0.8014 0.6818  1 Mn 1.99, 1 Sn 2.13
O 0.2290 0.6852 0.2862  1 Mn 1.97, 1 Sn 2.12
O 0.8014 0.2841 0.6818  1 Mn 1.99, 1 Sn 2.13
O 0.6852 0.2290 0.2862  1 Mn 1.97, 1 Sn 2.12